Entry 1:
## HgAsCl (GGA-PBE)

Data for an optimized crystal structure of HgAsCl.

abc: 4.024 4.024 11.356
angles: 90.00 90.00 90.00
Fractional coordinates of all 6 atoms:
Hg 0.000 0.000 0.000
Hg 0.500 0.500 0.500
As 0.000 0.000 0.488
As 0.500 0.500 0.988
Cl 0.000 0.000 0.289
Cl 0.500 0.500 0.789

Summary:
* formation energy without anion corrections: -124 meV per atom
* DOS(E_F): 0.46 states/eV/f.u.
* total magnetization: 0.0 μB/cell
* calculated total energy: -2.390 eV/atom
* SG: I4mm, No. 107

---

Entry 2:
## HgAsCl (GGA-PBE)

Data for an optimized crystal structure of HgAsCl.

abc: 3.509 3.509 7.127
angles: 90.00 90.00 120.00
Fractional coordinates of all 3 atoms:
Hg 0.000 0.000 0.000
As 0.333 0.667 0.280
Cl 0.667 0.333 0.740

Summary:
* formation energy without anion corrections: 157 meV per atom
* DOS(E_F): 1.59 states/eV/f.u.
* total magnetization: 0.0 μB/cell
* calculated total energy: -2.109 eV/atom
* SG: P3m1, No. 156

---

Entry 3:
## HgAs2Cl (GGA-PBE)

Data for an optimized crystal structure of HgAs2Cl.

abc: 5.701 3.600 6.057
angles: 90.00 101.51 90.00
Fractional coordinates of all 4 atoms:
Hg 0.000 0.000 0.000
As 0.491 0.000 0.998
As 0.502 0.500 0.714
Cl 0.116 0.500 0.513

Summary:
* formation energy without anion corrections: -151 meV per atom
* DOS(E_F): 0.42 states/eV/f.u.
* total magnetization: 0.0 μB/cell
* calculated total energy: -3.013 eV/atom
* SG: Pm, No. 6